1.
Computed, not measured: an optimized crystal structure of NaHgSbPt at the PBE-GGA level of DFT.

Computed properties:
Its excess energy over the best structure of this formula in the dataset is 0.0 kJ/mol of atoms.

a b c (Å): 4.8673 4.8673 4.8673
angles (deg): 60.00 60.00 60.00
Sites, in units of the cell vectors:
Hg 0.5000 0.5000 0.5000
Na 0.7500 0.7500 0.7500
Pt 0.2500 0.2500 0.2500
Sb 0.0000 0.0000 0.0000


2.
Computed, not measured: an optimized crystal structure of NaHgSbPt at the PBE-GGA level of DFT.

Computed properties:
Its excess energy over the best structure of this formula in the dataset is 6.4 kJ/mol of atoms.

a b c (Å): 4.9153 4.9153 4.9153
angles (deg): 60.00 60.00 60.00
Sites, in units of the cell vectors:
Hg 0.0000 0.0000 0.0000
Na 0.7500 0.7500 0.7500
Pt 0.5000 0.5000 0.5000
Sb 0.2500 0.2500 0.2500


3.
Computed, not measured: an optimized crystal structure of NaHg3Te4Pt at the PBE-GGA level of DFT.

Computed properties:
For the total energy, the calculation gives -21.230 eV per cell.

a b c (Å): 6.7820 6.7820 6.7820
angles (deg): 90.00 90.00 90.00
Sites, in units of the cell vectors:
Hg 0.5000 0.5000 0.0000
Hg 0.5000 0.0000 0.5000
Hg 0.0000 0.5000 0.5000
Na 0.0000 0.0000 0.0000
Pt 0.5000 0.5000 0.5000
Te 0.2618 0.2618 0.2618
Te 0.7382 0.7382 0.2618
Te 0.7382 0.2618 0.7382
Te 0.2618 0.7382 0.7382


In order of appearance, magnetic moment = 0.00, 0.00, 0.11 μB/atom.